# Ni2IO

An optimized crystal structure of Ni2IO (PBE with a Hubbard U, Alexandria).

It has space group Fm-3m (No. 225), with a = 6.089 Å, b = 6.089 Å, c = 6.089 Å, α = 90.00°, β = 90.00° and γ = 90.00°. The asymmetric unit holds Ni at (0.250, 0.250, 0.250), I at (0.000, 0.000, 0.000) and O at (0.000, 0.000, 0.500).

The distance to the lowest polymorph of the same formula is 4.76 eV per formula unit.